Version one
Here is TbTh2Cd after structural relaxation from Alexandria. Energies are from PBE.

Summary:
The size of the total moment is 0.0 μB per formula unit. For the density of states at the Fermi level, the calculation gives 4.26 states/eV/f.u.

The structure in CIF format:
```
data_TbTh2Cd
_chemical_formula_sum 'Tb1 Th2 Cd1'
_symmetry_space_group_name_H-M 'P 4/m m m'
_symmetry_Int_Tables_number 123
_symmetry_space_group_name_Hall '-P 4 2'
_cell_length_a 3.4890
_cell_length_b 3.4890
_cell_length_c 9.9922
_cell_angle_alpha 90.00
_cell_angle_beta 90.00
_cell_angle_gamma 90.00
loop_
_atom_site_label
_atom_site_type_symbol
_atom_site_fract_x
_atom_site_fract_y
_atom_site_fract_z
_atom_site_occupancy
Tb1 Tb 0.0000 0.0000 0.0000 1
Th1 Th 0.5000 0.5000 0.2634 1
Cd1 Cd 0.0000 0.0000 0.5000 1
```

---

Version two
Here is TbTh2Cd after structural relaxation from Alexandria. Energies are from PBE.

Summary:
The size of the total moment is 0.0 μB per formula unit. For the density of states at the Fermi level, the calculation gives 4.72 states/eV/f.u.

The structure in CIF format:
```
data_TbTh2Cd
_chemical_formula_sum 'Tb4 Th8 Cd4'
_symmetry_space_group_name_H-M 'F m -3 m'
_symmetry_Int_Tables_number 225
_symmetry_space_group_name_Hall '-F 4 2 3'
_cell_length_a 7.8147
_cell_length_b 7.8147
_cell_length_c 7.8147
_cell_angle_alpha 90.00
_cell_angle_beta 90.00
_cell_angle_gamma 90.00
loop_
_atom_site_label
_atom_site_type_symbol
_atom_site_fract_x
_atom_site_fract_y
_atom_site_fract_z
_atom_site_occupancy
Tb1 Tb 0.0000 0.0000 0.0000 1
Th1 Th 0.2500 0.2500 0.2500 1
Cd1 Cd 0.0000 0.0000 0.5000 1
```

---

In meV per atom, relative to the most stable structure: version one 0; version two 79.

---

Version one
Here is TbThCd4 after structural relaxation from Alexandria. Energies are from PBE.

Summary:
The size of the total moment is 0.0 μB per formula unit. For the density of states at the Fermi level, the calculation gives 6.29 states/eV/f.u.

The structure in CIF format:
```
data_TbThCd4
_chemical_formula_sum 'Tb4 Th4 Cd16'
_symmetry_space_group_name_H-M 'F -4 3 m'
_symmetry_Int_Tables_number 216
_symmetry_space_group_name_Hall 'F -4 2 3'
_cell_length_a 8.4211
_cell_length_b 8.4211
_cell_length_c 8.4211
_cell_angle_alpha 90.00
_cell_angle_beta 90.00
_cell_angle_gamma 90.00
loop_
_atom_site_label
_atom_site_type_symbol
_atom_site_fract_x
_atom_site_fract_y
_atom_site_fract_z
_atom_site_occupancy
Tb1 Tb 0.0000 0.0000 0.0000 1
Th1 Th 0.2500 0.2500 0.2500 1
Cd1 Cd 0.1253 0.1253 0.6253 1
```

---

Version two
Here is TbThCd4 after structural relaxation from Alexandria. Energies are from PBE.

Summary:
The size of the total moment is 0.0 μB per formula unit. For the density of states at the Fermi level, the calculation gives 7.71 states/eV/f.u.

The structure in CIF format:
```
data_TbThCd4
_chemical_formula_sum 'Tb2 Th2 Cd8'
_symmetry_space_group_name_H-M 'I -4 m 2'
_symmetry_Int_Tables_number 119
_symmetry_space_group_name_Hall 'I -4 -2'
_cell_length_a 4.3336
_cell_length_b 4.3336
_cell_length_c 17.5065
_cell_angle_alpha 90.00
_cell_angle_beta 90.00
_cell_angle_gamma 90.00
loop_
_atom_site_label
_atom_site_type_symbol
_atom_site_fract_x
_atom_site_fract_y
_atom_site_fract_z
_atom_site_occupancy
Tb1 Tb 0.0000 0.0000 0.0000 1
Th1 Th 0.0000 0.5000 0.2500 1
Cd1 Cd 0.0000 0.0000 0.4222 1
Cd2 Cd 0.0000 0.5000 0.6703 1
```

---

In meV per atom, relative to the most stable structure: version one 0; version two 146.

---

Version one
Here is Tb4ThCd after structural relaxation from Alexandria. Energies are from PBE.

Summary:
The size of the total moment is 0.0 μB per formula unit. For the density of states at the Fermi level, the calculation gives 7.96 states/eV/f.u.

The structure in CIF format:
```
data_Tb4ThCd
_chemical_formula_sum 'Tb16 Th4 Cd4'
_symmetry_space_group_name_H-M 'C 1 2/c 1'
_symmetry_Int_Tables_number 15
_cell_length_a 8.8529
_cell_length_b 14.2605
_cell_length_c 6.2707
_cell_angle_alpha 90.00
_cell_angle_beta 111.06
_cell_angle_gamma 90.00
loop_
_symmetry_equiv_pos_as_xyz
'x,y,z'
'-x,-y,-z'
'-x,y,-z+1/2'
'x,-y,z+1/2'
'x+1/2,y+1/2,z'
'-x+1/2,-y+1/2,-z'
'-x+1/2,y+1/2,-z+1/2'
'x+1/2,-y+1/2,z+1/2'
loop_
_atom_site_label
_atom_site_type_symbol
_atom_site_fract_x
_atom_site_fract_y
_atom_site_fract_z
_atom_site_occupancy
Tb1 Tb 0.1035 0.1893 0.0568 1
Tb2 Tb 0.2115 0.3958 0.3588 1
Th1 Th 0.0000 0.3953 0.7500 1
Cd1 Cd 0.0000 0.0006 0.7500 1
```

---

Version two
Here is Tb4ThCd after structural relaxation from Alexandria. Energies are from PBE.

Summary:
The size of the total moment is 0.0 μB per formula unit. For the density of states at the Fermi level, the calculation gives 7.68 states/eV/f.u.

The structure in CIF format:
```
data_Tb4ThCd
_chemical_formula_sum 'Tb4 Th1 Cd1'
_symmetry_space_group_name_H-M 'P 4/m m m'
_symmetry_Int_Tables_number 123
_symmetry_space_group_name_Hall '-P 4 2'
_cell_length_a 3.5918
_cell_length_b 3.5918
_cell_length_c 14.1146
_cell_angle_alpha 90.00
_cell_angle_beta 90.00
_cell_angle_gamma 90.00
loop_
_atom_site_label
_atom_site_type_symbol
_atom_site_fract_x
_atom_site_fract_y
_atom_site_fract_z
_atom_site_occupancy
Tb1 Tb 0.0000 0.0000 0.1458 1
Tb2 Tb 0.5000 0.5000 0.3274 1
Th1 Th 0.0000 0.0000 0.5000 1
Cd1 Cd 0.5000 0.5000 0.0000 1
```

---

In meV per atom, relative to the most stable structure: version one 107; version two 0.

---

Version one
Here is TbYThCd after structural relaxation from Alexandria. Energies are from PBE.

Summary:
The size of the total moment is 1.1 μB per formula unit. For the density of states at the Fermi level, the calculation gives 6.62 states/eV/f.u.

The structure in CIF format:
```
data_TbYThCd
_chemical_formula_sum 'Tb4 Y4 Th4 Cd4'
_symmetry_space_group_name_H-M 'F -4 3 m'
_symmetry_Int_Tables_number 216
_symmetry_space_group_name_Hall 'F -4 2 3'
_cell_length_a 7.7700
_cell_length_b 7.7700
_cell_length_c 7.7700
_cell_angle_alpha 90.00
_cell_angle_beta 90.00
_cell_angle_gamma 90.00
loop_
_atom_site_label
_atom_site_type_symbol
_atom_site_fract_x
_atom_site_fract_y
_atom_site_fract_z
_atom_site_occupancy
Tb1 Tb 0.0000 0.0000 0.0000 1
Y1 Y 0.0000 0.0000 0.5000 1
Th1 Th 0.2500 0.2500 0.2500 1
Cd1 Cd 0.2500 0.2500 0.7500 1
```

---

Version two
Here is TbYThCd after structural relaxation from Alexandria. Energies are from PBE.

Summary:
The size of the total moment is 0.0 μB per formula unit. For the density of states at the Fermi level, the calculation gives 5.05 states/eV/f.u.

The structure in CIF format:
```
data_TbYThCd
_chemical_formula_sum 'Tb1 Y1 Th1 Cd1'
_symmetry_space_group_name_H-M 'P 4 m m'
_symmetry_Int_Tables_number 99
_cell_length_a 3.6211
_cell_length_b 3.6211
_cell_length_c 8.8817
_cell_angle_alpha 90.00
_cell_angle_beta 90.00
_cell_angle_gamma 90.00
loop_
_symmetry_equiv_pos_as_xyz
'x,y,z'
'-y,x,z'
'-x,-y,z'
'y,-x,z'
'-x,y,z'
'y,x,z'
'x,-y,z'
'-y,-x,z'
loop_
_atom_site_label
_atom_site_type_symbol
_atom_site_fract_x
_atom_site_fract_y
_atom_site_fract_z
_atom_site_occupancy
Tb1 Tb 0.0000 0.0000 0.0000 1
Y1 Y 0.0000 0.0000 0.5397 1
Th1 Th 0.5000 0.5000 0.2691 1
Cd1 Cd 0.5000 0.5000 0.7691 1
```

---

In meV per atom, relative to the most stable structure: version one 267; version two 0.